(1)
Entry from Alexandria via LeMat-Bulk: a geometry-optimized K2NiHSe structure (PBE).

```
5
Lattice="-0.871 -5.969 1.100 2.227 -0.972 -3.511 5.159 -0.143 3.312" Properties=species:S:1:pos:R:3 pbc="T T T"
K 2.579 -0.071 1.656
K -0.436 -2.984 0.550
Se 1.113 -0.486 -1.755
H 3.257 -3.542 0.451
Ni 0.000 0.000 0.000
```

Properties
Total DFT energy (no corrections) = -15.406 eV per cell
Space-group type = No. 123


(2)
Entry from Alexandria via LeMat-Bulk: a geometry-optimized KSrNiH6 structure (PBE).

```
9
Lattice="-2.538 1.876 4.067 1.834 -0.756 4.752 2.550 4.145 -0.322" Properties=species:S:1:pos:R:3 pbc="T T T"
K -2.152 2.503 4.018
H 0.354 1.657 4.127
H 1.498 2.857 1.433
H 2.309 2.523 3.535
H 1.454 0.843 2.364
H -0.441 1.984 2.067
H 0.375 3.687 3.232
Ni 0.934 2.273 2.792
Sr 1.216 3.488 5.666
```

Properties
Total DFT energy (no corrections) = -30.912 eV per cell
Space-group type = No. 156


(3)
Entry from Alexandria via LeMat-Bulk: a geometry-optimized K2SrNiH8 structure (PBE).

```
12
Lattice="-2.909 -0.059 4.501 -1.409 -3.095 -4.143 3.725 -4.834 2.344" Properties=species:S:1:pos:R:3 pbc="T T T"
Sr 1.863 -2.417 1.172
H -0.310 -3.795 2.940
H 0.507 -4.636 5.388
H -0.346 -6.508 2.882
H -1.100 -3.352 -2.686
H -0.283 -4.193 -0.238
H 2.267 -4.600 2.665
H -0.248 -1.480 -0.180
H -2.860 -3.388 0.037
Ni 0.000 0.000 0.000
K -1.789 -1.876 2.010
K 1.196 -6.112 0.692
```

Properties
Total DFT energy (no corrections) = -38.571 eV per cell
Space-group type = No. 164


> Look up the total DFT energy (no corrections) of the second one.

-30.912 eV per cell


> Which formula does entry 3 have?

K2SrNiH8